[1]
The following is a PBE calculation of a relaxed SrPa2N4 crystal, from Alexandria. Values from VASP.

Calculated values
The calculated density comes out at 8746 kg/m3. The value obtained for the magnetization is 0.0 μB/f.u. Its total energy is -9.195 eV per atom. For the volume, the calculation gives 16.43 Å³ per atom.

```
&SYSTEM
  ibrav = 0, nat = 14, ntyp = 3
/
ATOMIC_SPECIES
Sr 87.62 Sr.upf
Pa 231.04 Pa.upf
N 14.01 N.upf
CELL_PARAMETERS angstrom
1.782 -5.819 0.000
1.782 5.819 0.000
0.000 0.000 11.090
ATOMIC_POSITIONS angstrom
Sr 1.782 4.617 8.317
Sr 1.782 -4.617 2.772
Pa 1.782 1.567 6.337
Pa 1.782 1.567 10.297
Pa 1.782 -1.567 0.793
Pa 1.782 -1.567 4.752
N 0.000 0.000 0.000
N 0.000 0.000 5.545
N 1.782 2.815 1.076
N 1.782 2.815 4.469
N 1.782 0.651 8.317
N 1.782 -0.651 2.772
N 1.782 -2.815 6.620
N 1.782 -2.815 10.014
```

[2]
The following is a PBE calculation of a relaxed La4TcTe crystal, from Alexandria. Values from VASP.

Calculated values
The calculated density comes out at 6731 kg/m3. The value obtained for the magnetization is 0.0 μB/f.u. For the density of states at the Fermi level, the calculation gives 13.7 states/eV per cell. Its relative energy among the computed polymorphs is 0.000 eV/atom. For the volume, the calculation gives 32.12 Å³ per atom.

```
&SYSTEM
  ibrav = 0, nat = 12, ntyp = 3
/
ATOMIC_SPECIES
La 138.91 La.upf
Tc 98.00 Tc.upf
Te 127.60 Te.upf
CELL_PARAMETERS angstrom
4.659 -7.179 0.000
4.659 7.179 0.000
-3.122 0.000 5.762
ATOMIC_POSITIONS angstrom
La 0.734 4.571 5.307
La 0.387 0.914 3.887
La 3.900 4.571 3.336
La 1.948 -0.914 1.006
La 4.247 0.914 4.756
La 2.295 -4.571 2.426
La 5.808 -0.914 1.875
La 5.461 -4.571 0.455
Tc 2.317 7.125 4.322
Tc 3.878 -7.125 1.441
Te 3.878 1.792 1.441
Te 2.317 -1.792 4.322
```

[3]
The following is a PBE calculation of a relaxed NpCuO5 crystal, from Alexandria. Values from VASP.

Calculated values
The calculated density comes out at 5576 kg/m3. The value obtained for the magnetization is 0.0 μB/f.u. For the density of states at the Fermi level, the calculation gives 8.8 states/eV per cell. Its total energy is -7.643 eV per atom. For the volume, the calculation gives 16.19 Å³ per atom.

```
&SYSTEM
  ibrav = 0, nat = 28, ntyp = 3
/
ATOMIC_SPECIES
Np 237.00 Np.upf
Cu 63.55 Cu.upf
O 16.00 O.upf
CELL_PARAMETERS angstrom
5.663 0.000 0.000
0.000 11.715 0.000
-2.004 0.000 6.833
ATOMIC_POSITIONS angstrom
Np -0.354 0.261 1.749
Np -1.357 5.596 5.166
Np 5.016 6.119 1.667
Np 4.013 11.454 5.083
Cu 0.808 2.928 0.237
Cu -0.194 2.930 3.653
Cu 3.853 8.785 3.179
Cu 2.851 8.788 6.596
O -0.486 1.135 3.905
O 0.517 4.723 0.488
O -1.287 1.131 6.704
O -0.285 4.727 3.288
O 0.580 2.406 2.026
O -0.423 3.451 5.442
O 0.830 7.027 2.106
O -0.172 10.546 5.522
O 0.149 6.453 5.595
O 1.151 11.120 2.179
O 2.508 0.595 4.654
O 3.510 5.262 1.238
O 3.831 1.170 1.310
O 2.829 4.688 4.726
O 4.082 8.264 1.391
O 3.079 9.309 4.807
O 3.944 6.988 3.545
O 4.946 10.585 0.129
O 3.142 6.993 6.344
O 4.145 10.581 2.928
```

[4]
The following is a PBE calculation of a relaxed Sm2ZnBPt6 crystal, from Alexandria. Values from VASP.

Calculated values
The calculated density comes out at 14087 kg/m3. The value obtained for the magnetization is 0.0 μB/f.u. For the density of states at the Fermi level, the calculation gives 2.9 states/eV per cell. The value obtained for the formation energy is -0.873 eV per atom. For the volume, the calculation gives 18.24 Å³ per atom.

```
&SYSTEM
  ibrav = 0, nat = 10, ntyp = 4
/
ATOMIC_SPECIES
Sm 150.36 Sm.upf
Zn 65.41 Zn.upf
B 10.81 B.upf
Pt 195.08 Pt.upf
CELL_PARAMETERS angstrom
2.828 1.633 6.583
-2.828 1.633 6.583
0.000 -3.266 6.583
ATOMIC_POSITIONS angstrom
Sm 0.000 0.000 4.156
Sm 0.000 0.000 15.594
Zn 0.000 0.000 9.875
B 0.000 0.000 0.000
Pt 0.000 -1.585 7.861
Pt -1.373 0.793 7.861
Pt -1.373 -0.793 11.889
Pt 1.373 0.793 7.861
Pt 1.373 -0.793 11.889
Pt 0.000 1.585 11.889
```

[5]
The following is a PBE calculation of a relaxed YPW2 crystal, from Alexandria. Values from VASP.

Calculated values
The calculated density comes out at 10556 kg/m3. The value obtained for the magnetization is 0.0 μB/f.u. For the density of states at the Fermi level, the calculation gives 5.4 states/eV per cell. The value obtained for the formation energy is 0.399 eV per atom. For the volume, the calculation gives 19.17 Å³ per atom.

```
&SYSTEM
  ibrav = 0, nat = 8, ntyp = 3
/
ATOMIC_SPECIES
Y 88.91 Y.upf
P 30.97 P.upf
W 183.84 W.upf
CELL_PARAMETERS angstrom
-1.963 1.963 9.954
1.963 -1.963 9.954
1.963 1.963 -9.954
ATOMIC_POSITIONS angstrom
Y 0.000 0.000 0.000
Y 0.000 1.963 4.977
P 1.963 0.000 4.977
P 0.000 0.000 9.954
W 0.981 -0.823 7.465
W 1.140 0.981 2.488
W 0.981 2.786 -2.488
W 0.823 0.981 12.442
```

[6]
The following is a PBE calculation of a relaxed SmInPbBr6 crystal, from Alexandria. Values from VASP.

Calculated values
The calculated density comes out at 4364 kg/m3. The value obtained for the magnetization is 0.0 μB/f.u. For the density of states at the Fermi level, the calculation gives 0.0 states/eV per cell. Its total energy is -3.653 eV per atom. For the volume, the calculation gives 40.24 Å³ per atom.

```
&SYSTEM
  ibrav = 0, nat = 18, ntyp = 4
/
ATOMIC_SPECIES
Sm 150.36 Sm.upf
In 114.82 In.upf
Pb 207.20 Pb.upf
Br 79.90 Br.upf
CELL_PARAMETERS angstrom
7.684 0.000 0.000
-3.842 6.654 0.000
0.000 0.000 14.168
ATOMIC_POSITIONS angstrom
Sm 0.000 4.436 3.542
Sm 3.842 2.218 10.626
In 0.000 0.000 0.000
In 0.000 0.000 7.084
Pb 0.000 4.436 10.626
Pb 3.842 2.218 3.542
Br -1.292 2.471 1.879
Br -2.348 4.300 5.205
Br 1.292 2.471 5.205
Br -1.056 6.538 1.879
Br 2.786 0.116 8.962
Br 1.494 2.354 12.289
Br 2.348 4.300 1.879
Br 1.056 6.538 5.205
Br 4.898 0.116 12.289
Br 2.550 4.183 8.962
Br 6.190 2.354 8.962
Br 5.134 4.183 12.289
```